# 1
DFT (PBE-GGA) results for a geometry-optimized Ca2YAu structure.

## Properties
space-group type	I-42d (122)
M_tot	0.0	μB/cell
density of states at the Fermi level	11.123	states/eV/cell

a = 7.203 Å, b = 7.203 Å, c = 7.203 Å
α = 100.76°, β = 100.76°, γ = 128.81°
Element x y z (fractional)
Ca 0.047 0.125 0.422
Ca 0.375 0.953 0.078
Ca 0.703 0.625 0.578
Ca 0.875 0.297 0.922
Y 0.250 0.750 0.500
Y 0.500 0.500 0.000
Au 0.000 0.000 0.000
Au 0.750 0.250 0.500

# 2
DFT (PBE-GGA) results for a geometry-optimized Dy12Tm6Tl structure.

## Properties
space-group type	R-3 (148)
M_tot	0.0	μB/cell
density of states at the Fermi level	25.608	states/eV/cell

a = 9.274 Å, b = 9.274 Å, c = 9.274 Å
α = 110.91°, β = 110.91°, γ = 110.91°
Element x y z (fractional)
Dy 0.054 0.585 0.372
Dy 0.103 0.156 0.735
Dy 0.156 0.735 0.103
Dy 0.265 0.897 0.844
Dy 0.372 0.054 0.585
Dy 0.415 0.628 0.946
Dy 0.585 0.372 0.054
Dy 0.628 0.946 0.415
Dy 0.735 0.103 0.156
Dy 0.844 0.265 0.897
Dy 0.897 0.844 0.265
Dy 0.946 0.415 0.628
Tm 0.213 0.317 0.473
Tm 0.317 0.473 0.213
Tm 0.473 0.213 0.317
Tm 0.527 0.787 0.683
Tm 0.683 0.527 0.787
Tm 0.787 0.683 0.527
Tl 0.000 0.000 0.000

# 3
DFT (PBE-GGA) results for a geometry-optimized NaLiAu structure.

## Properties
space-group type	I4mm (107)
M_tot	0.0	μB/cell
density of states at the Fermi level	0.641	states/eV/cell

a = 5.793 Å, b = 5.793 Å, c = 5.793 Å
α = 145.61°, β = 145.61°, γ = 49.43°
Element x y z (fractional)
Na 0.000 0.000 0.000
Li 0.714 0.714 0.000
Au 0.312 0.312 0.000

Number 1: formation energy from the elements -0.1778 eV/atom, E_tot -3.614 eV per atom. Number 2: formation energy from the elements -0.0027 eV/atom, E_tot -4.446 eV per atom. Number 3: formation energy from the elements -0.3230 eV/atom, E_tot -2.493 eV per atom.